(1)
# PrHoAu6, optimized geometry, DFT GGA-PBE
data_PrHoAu6
_cell_length_a 5.076
_cell_length_b 6.275
_cell_length_c 5.180
_cell_angle_alpha 90.00
_cell_angle_beta 90.00
_cell_angle_gamma 90.00
_space_group_name_H-M_alt 'P m m 2'
_space_group_IT_number 25
_space_group_name_Hall 'P 2 -2'
loop_
_atom_site_label
_atom_site_fract_x
_atom_site_fract_y
_atom_site_fract_z
Pr1 0.000 0.000 0.000
Ho1 0.500 0.500 0.687
Au1 0.000 0.267 0.504
Au2 0.000 0.500 0.006
Au3 0.500 0.000 0.664
Au4 0.500 0.252 0.183
# E_form: -688 meV/atom

(2)
# PrHoAu, optimized geometry, DFT GGA-PBE
data_PrHoAu
_cell_length_a 7.080
_cell_length_b 5.083
_cell_length_c 9.306
_cell_angle_alpha 90.00
_cell_angle_beta 90.00
_cell_angle_gamma 90.00
_space_group_name_H-M_alt 'P n m a'
_space_group_IT_number 62
_space_group_name_Hall '-P 2ac 2n'
loop_
_atom_site_label
_atom_site_fract_x
_atom_site_fract_y
_atom_site_fract_z
Pr1 0.153 0.250 0.087
Ho1 0.006 0.250 0.674
Au1 0.221 0.250 0.405
# E above lowest polymorph: 3.4 kJ/mol of atoms
# E_form: -562 meV/atom

(3)
# PrHoAu, optimized geometry, DFT GGA-PBE
data_PrHoAu
_cell_length_a 7.285
_cell_length_b 5.015
_cell_length_c 9.052
_cell_angle_alpha 90.00
_cell_angle_beta 90.00
_cell_angle_gamma 90.00
_space_group_name_H-M_alt 'P n m a'
_space_group_IT_number 62
_space_group_name_Hall '-P 2ac 2n'
loop_
_atom_site_label
_atom_site_fract_x
_atom_site_fract_y
_atom_site_fract_z
Pr1 0.011 0.250 0.178
Ho1 0.149 0.250 0.581
Au1 0.245 0.750 0.402
# E above lowest polymorph: 0.0 kJ/mol of atoms
# E_form: -597 meV/atom

(4)
# PrHo2Si4Au4, optimized geometry, DFT GGA-PBE
data_PrHo2Si4Au4
_cell_length_a 4.198
_cell_length_b 4.243
_cell_length_c 25.188
_cell_angle_alpha 90.00
_cell_angle_beta 90.00
_cell_angle_gamma 90.00
_space_group_name_H-M_alt 'I m m m'
_space_group_IT_number 71
_space_group_name_Hall '-I 2 2'
loop_
_atom_site_label
_atom_site_fract_x
_atom_site_fract_y
_atom_site_fract_z
Pr1 0.000 0.000 0.000
Ho1 0.000 0.500 0.148
Si1 0.000 0.000 0.453
Si2 0.000 0.500 0.309
Au1 0.000 0.000 0.251
Au2 0.000 0.500 0.404
# calculated total energy: -112.818 eV/cell

(5)
# Pr2HoSn4Au4, optimized geometry, DFT GGA-PBE
data_Pr2HoSn4Au4
_cell_length_a 4.702
_cell_length_b 7.246
_cell_length_c 15.660
_cell_angle_alpha 90.00
_cell_angle_beta 90.00
_cell_angle_gamma 90.00
_space_group_name_H-M_alt 'I m m m'
_space_group_IT_number 71
_space_group_name_Hall '-I 2 2'
loop_
_atom_site_label
_atom_site_fract_x
_atom_site_fract_y
_atom_site_fract_z
Pr1 0.000 0.000 0.129
Ho1 0.000 0.500 0.000
Sn1 0.000 0.298 0.500
Sn2 0.000 0.500 0.212
Au1 0.000 0.201 0.331
# calculated total energy: -101.246 eV/cell

(6)
# HoPt4Au, optimized geometry, DFT GGA-PBE
data_HoPt4Au
_cell_length_a 7.541
_cell_length_b 7.541
_cell_length_c 7.541
_cell_angle_alpha 90.00
_cell_angle_beta 90.00
_cell_angle_gamma 90.00
_space_group_name_H-M_alt 'F -4 3 m'
_space_group_IT_number 216
_space_group_name_Hall 'F -4 2 3'
loop_
_atom_site_label
_atom_site_fract_x
_atom_site_fract_y
_atom_site_fract_z
Ho1 0.000 0.000 0.000
Pt1 0.125 0.125 0.375
Au1 0.250 0.250 0.750
# E_form: -721 meV/atom

(7)
# Ho4PtAu3, optimized geometry, DFT GGA-PBE
data_Ho4PtAu3
_cell_length_a 3.718
_cell_length_b 4.624
_cell_length_c 10.736
_cell_angle_alpha 90.00
_cell_angle_beta 90.00
_cell_angle_gamma 90.00
_space_group_name_H-M_alt 'P m m 2'
_space_group_IT_number 25
_space_group_name_Hall 'P 2 -2'
loop_
_atom_site_label
_atom_site_fract_x
_atom_site_fract_y
_atom_site_fract_z
Ho1 0.000 0.000 0.000
Ho2 0.000 0.500 0.267
Ho3 0.500 0.000 0.483
Ho4 0.500 0.500 0.770
Pt1 0.500 0.000 0.219
Au1 0.000 0.000 0.720
Au2 0.000 0.500 0.542
Au3 0.500 0.500 0.042
# E_form: -1002 meV/atom

(8)
# HoPtAu, optimized geometry, DFT GGA-PBE
data_HoPtAu
_cell_length_a 6.577
_cell_length_b 6.577
_cell_length_c 6.577
_cell_angle_alpha 90.00
_cell_angle_beta 90.00
_cell_angle_gamma 90.00
_space_group_name_H-M_alt 'F -4 3 m'
_space_group_IT_number 216
_space_group_name_Hall 'F -4 2 3'
loop_
_atom_site_label
_atom_site_fract_x
_atom_site_fract_y
_atom_site_fract_z
Ho1 0.000 0.000 0.000
Pt1 0.250 0.250 0.250
Au1 0.250 0.250 0.750
# E above lowest polymorph: 23.5 kJ/mol of atoms
# E_form: -605 meV/atom

(9)
# Ho3Zn3PtAu2, optimized geometry, DFT GGA-PBE
data_Ho3Zn3PtAu2
_cell_length_a 7.3630
_cell_length_b 7.3630
_cell_length_c 3.9073
_cell_angle_alpha 90.00
_cell_angle_beta 90.00
_cell_angle_gamma 120.00
_space_group_name_H-M_alt 'P -6 2 m'
_space_group_IT_number 189
_space_group_name_Hall 'P -6 -2'
loop_
_atom_site_label
_atom_site_fract_x
_atom_site_fract_y
_atom_site_fract_z
Ho1 0.0000 0.6034 0.0000
Zn1 0.0000 0.2468 0.5000
Pt1 0.0000 0.0000 0.0000
Au1 0.3333 0.6667 0.5000
# E_form: -777 meV/atom

(10)
# Ho3Zn3Pt2Au, optimized geometry, DFT GGA-PBE
data_Ho3Zn3Pt2Au
_cell_length_a 7.3676
_cell_length_b 7.3676
_cell_length_c 3.8039
_cell_angle_alpha 90.00
_cell_angle_beta 90.00
_cell_angle_gamma 120.00
_space_group_name_H-M_alt 'P -6 2 m'
_space_group_IT_number 189
_space_group_name_Hall 'P -6 -2'
loop_
_atom_site_label
_atom_site_fract_x
_atom_site_fract_y
_atom_site_fract_z
Ho1 0.0000 0.5930 0.0000
Zn1 0.0000 0.2633 0.5000
Pt1 0.3333 0.6667 0.5000
Au1 0.0000 0.0000 0.0000
# E_form: -892 meV/atom

(11)
# HoPuAu, optimized geometry, DFT GGA-PBE
data_HoPuAu
_cell_length_a 6.762
_cell_length_b 6.762
_cell_length_c 6.762
_cell_angle_alpha 90.00
_cell_angle_beta 90.00
_cell_angle_gamma 90.00
_space_group_name_H-M_alt 'F -4 3 m'
_space_group_IT_number 216
_space_group_name_Hall 'F -4 2 3'
loop_
_atom_site_label
_atom_site_fract_x
_atom_site_fract_y
_atom_site_fract_z
Ho1 0.000 0.000 0.000
Pu1 0.250 0.250 0.250
Au1 0.000 0.000 0.500
# E above lowest polymorph: 0.0 kJ/mol of atoms
# E_form: 164 meV/atom

(12)
# RbHoAu, optimized geometry, DFT GGA-PBE
data_RbHoAu
_cell_length_a 7.294
_cell_length_b 7.294
_cell_length_c 7.294
_cell_angle_alpha 90.00
_cell_angle_beta 90.00
_cell_angle_gamma 90.00
_space_group_name_H-M_alt 'F -4 3 m'
_space_group_IT_number 216
_space_group_name_Hall 'F -4 2 3'
loop_
_atom_site_label
_atom_site_fract_x
_atom_site_fract_y
_atom_site_fract_z
Rb1 0.000 0.000 0.000
Ho1 0.250 0.250 0.250
Au1 0.000 0.000 0.500
# calculated total energy: -30.014 eV/cell

(13)
# RbHoTe3Au, optimized geometry, DFT GGA-PBE
data_RbHoTe3Au
_cell_length_a 4.241
_cell_length_b 16.887
_cell_length_c 11.275
_cell_angle_alpha 90.00
_cell_angle_beta 90.00
_cell_angle_gamma 90.00
_space_group_name_H-M_alt 'C m c m'
_space_group_IT_number 63
_space_group_name_Hall '-C 2c 2'
loop_
_atom_site_label
_atom_site_fract_x
_atom_site_fract_y
_atom_site_fract_z
Rb1 0.000 0.244 0.250
Ho1 0.000 0.000 0.000
Te1 0.000 0.073 0.750
Te2 0.000 0.372 0.548
Au1 0.000 0.464 0.750
# calculated total energy: -94.901 eV/cell

(14)
# HoAuS2, optimized geometry, DFT GGA-PBE
data_HoAuS2
_cell_length_a 13.040
_cell_length_b 4.097
_cell_length_c 7.197
_cell_angle_alpha 90.00
_cell_angle_beta 90.00
_cell_angle_gamma 90.00
_space_group_name_H-M_alt 'P n m a'
_space_group_IT_number 62
_space_group_name_Hall '-P 2ac 2n'
loop_
_atom_site_label
_atom_site_fract_x
_atom_site_fract_y
_atom_site_fract_z
Ho1 0.145 0.250 0.014
Au1 0.105 0.750 0.523
S1 0.049 0.750 0.829
S2 0.203 0.750 0.251
# E above lowest polymorph: 0.0 kJ/mol of atoms

(15)
# HoAuS2, optimized geometry, DFT GGA-PBE
data_HoAuS2
_cell_length_a 4.0769
_cell_length_b 4.0769
_cell_length_c 6.3517
_cell_angle_alpha 90.00
_cell_angle_beta 90.00
_cell_angle_gamma 120.00
_space_group_name_H-M_alt 'P 3 m 1'
_space_group_IT_number 156
_space_group_name_Hall 'P 3 -2"'
loop_
_atom_site_label
_atom_site_fract_x
_atom_site_fract_y
_atom_site_fract_z
Ho1 0.0000 0.0000 0.0000
Au1 0.3333 0.6667 0.5991
S1 0.3333 0.6667 0.2135
S2 0.6667 0.3333 0.7634
# E above lowest polymorph: 11.1 kJ/mol of atoms

(16)
# HoSnAuSe2S, optimized geometry, DFT GGA-PBE
data_HoSnAuSe2S
_cell_length_a 4.054
_cell_length_b 13.631
_cell_length_c 10.239
_cell_angle_alpha 90.00
_cell_angle_beta 90.00
_cell_angle_gamma 90.00
_space_group_name_H-M_alt 'C m c m'
_space_group_IT_number 63
_space_group_name_Hall '-C 2c 2'
loop_
_atom_site_label
_atom_site_fract_x
_atom_site_fract_y
_atom_site_fract_z
Ho1 0.000 0.000 0.000
Sn1 0.000 0.254 0.250
Au1 0.000 0.469 0.750
Se1 0.000 0.351 0.551
S1 0.000 0.088 0.750
# calculated total energy: -112.698 eV/cell

(17)
# SrHoAuSe2S, optimized geometry, DFT GGA-PBE
data_SrHoAuSe2S
_cell_length_a 4.124
_cell_length_b 13.709
_cell_length_c 10.399
_cell_angle_alpha 90.00
_cell_angle_beta 90.00
_cell_angle_gamma 90.00
_space_group_name_H-M_alt 'C m c m'
_space_group_IT_number 63
_space_group_name_Hall '-C 2c 2'
loop_
_atom_site_label
_atom_site_fract_x
_atom_site_fract_y
_atom_site_fract_z
Sr1 0.000 0.244 0.250
Ho1 0.000 0.500 0.000
Au1 0.000 0.029 0.750
Se1 0.000 0.145 0.552
S1 0.000 0.417 0.750
# calculated total energy: -118.337 eV/cell

(18)
# HoSnAuS3, optimized geometry, DFT GGA-PBE
data_HoSnAuS3
_cell_length_a 7.630
_cell_length_b 3.978
_cell_length_c 9.592
_cell_angle_alpha 90.00
_cell_angle_beta 107.22
_cell_angle_gamma 90.00
_space_group_name_H-M_alt 'P 1 21/m 1'
_space_group_IT_number 11
_space_group_name_Hall '-P 2yb'
loop_
_atom_site_label
_atom_site_fract_x
_atom_site_fract_y
_atom_site_fract_z
Ho1 0.196 0.250 0.165
Sn1 0.219 0.750 0.707
Au1 0.363 0.750 0.425
S1 0.074 0.250 0.870
S2 0.170 0.250 0.456
S3 0.444 0.750 0.189
# E above lowest polymorph: 11.3 kJ/mol of atoms

(19)
# HoSnAuS3, optimized geometry, DFT GGA-PBE
data_HoSnAuS3
_cell_length_a 11.518
_cell_length_b 3.985
_cell_length_c 12.767
_cell_angle_alpha 90.00
_cell_angle_beta 90.00
_cell_angle_gamma 90.00
_space_group_name_H-M_alt 'P n m a'
_space_group_IT_number 62
_space_group_name_Hall '-P 2ac 2n'
loop_
_atom_site_label
_atom_site_fract_x
_atom_site_fract_y
_atom_site_fract_z
Ho1 0.022 0.250 0.152
Sn1 0.157 0.250 0.568
Au1 0.206 0.750 0.386
S1 0.025 0.750 0.301
S2 0.101 0.250 0.946
S3 0.243 0.750 0.684
# E above lowest polymorph: 5.0 kJ/mol of atoms

(20)
# HoSnAuS3, optimized geometry, DFT GGA-PBE
data_HoSnAuS3
_cell_length_a 17.450
_cell_length_b 3.876
_cell_length_c 8.213
_cell_angle_alpha 90.00
_cell_angle_beta 103.16
_cell_angle_gamma 90.00
_space_group_name_H-M_alt 'C 1 2/m 1'
_space_group_IT_number 12
_space_group_name_Hall '-C 2y'
loop_
_atom_site_label
_atom_site_fract_x
_atom_site_fract_y
_atom_site_fract_z
Ho1 0.164 0.000 0.091
Sn1 0.131 0.000 0.581
Au1 0.043 0.500 0.224
S1 0.000 0.000 0.000
S2 0.000 0.500 0.500
S3 0.174 0.500 0.858
S4 0.189 0.500 0.332
# E above lowest polymorph: 12.8 kJ/mol of atoms

(21)
# HoSnAuS3, optimized geometry, DFT GGA-PBE
data_HoSnAuS3
_cell_length_a 14.423
_cell_length_b 4.066
_cell_length_c 10.918
_cell_angle_alpha 90.00
_cell_angle_beta 90.00
_cell_angle_gamma 90.00
_space_group_name_H-M_alt 'P n m a'
_space_group_IT_number 62
_space_group_name_Hall '-P 2ac 2n'
loop_
_atom_site_label
_atom_site_fract_x
_atom_site_fract_y
_atom_site_fract_z
Ho1 0.011 0.250 0.154
Sn1 0.242 0.250 0.920
Au1 0.107 0.250 0.540
S1 0.096 0.250 0.752
S2 0.104 0.750 0.040
S3 0.148 0.250 0.331
# E above lowest polymorph: 3.9 kJ/mol of atoms

(22)
# HoSnAuS3, optimized geometry, DFT GGA-PBE
data_HoSnAuS3
_cell_length_a 4.057
_cell_length_b 14.208
_cell_length_c 10.226
_cell_angle_alpha 90.00
_cell_angle_beta 90.00
_cell_angle_gamma 90.00
_space_group_name_H-M_alt 'C m c m'
_space_group_IT_number 63
_space_group_name_Hall '-C 2c 2'
loop_
_atom_site_label
_atom_site_fract_x
_atom_site_fract_y
_atom_site_fract_z
Ho1 0.000 0.000 0.000
Sn1 0.000 0.307 0.250
Au1 0.000 0.350 0.750
S1 0.000 0.065 0.750
S2 0.000 0.370 0.522
# E above lowest polymorph: 1.6 kJ/mol of atoms